Entry 1:
DFT (GGA-PBE) results for a relaxed Re2RhPb crystal.

- formation energy (eV/atom) = 0.741
- DOS(E_F) (states/eV per cell) = 3.6
- space-group type = R-3m (166)

```
Re2RhPb
1.0
-7.381 -0.998 -5.802
-8.521 -2.212 -3.412
-8.629 0.677 -3.771
Re Rh Pb
2 1 1
Cartesian
-18.592 -1.919 -9.841 Re
-5.940 -0.613 -3.144 Re
-12.266 -1.266 -6.492 Rh
0.000 0.000 0.000 Pb
```



Entry 2:
DFT (GGA-PBE) results for a relaxed KTiF5 crystal.

- DOS(E_F) (states/eV per cell) = 0.0
- space-group type = C2/c (15)
- E_form (uncorrected) (eV per atom) = -3.31

```
KTiF5
1.0
5.995 -0.116 -0.124
1.792 5.722 -0.124
2.615 1.883 7.238
K Ti F
2 2 10
Cartesian
4.643 3.141 1.685 K
5.759 4.348 5.304 K
0.000 0.000 0.000 Ti
1.307 0.941 3.619 Ti
6.574 4.450 0.516 F
3.959 5.007 3.431 F
7.614 5.764 4.135 F
6.524 0.528 1.685 F
3.091 4.382 -0.061 F
7.312 3.107 7.050 F
3.878 6.961 5.304 F
2.789 1.725 2.854 F
6.444 2.482 3.558 F
3.828 3.039 6.473 F
```



Entry 3:
DFT (GGA-PBE) results for a relaxed SmHoPtRh crystal.

- formation energy (eV/atom) = -1.021
- energy above the most stable polymorph in this dataset (meV/atom) = 0.0
- DOS(E_F) (states/eV per cell) = 2.3
- space-group type = Amm2 (38)

```
SmHoPtRh
1.0
3.827 0.000 0.000
0.000 4.361 0.000
-1.914 0.000 5.330
Sm Ho Pt Rh
1 1 1 1
Cartesian
0.000 0.000 1.539 Sm
1.914 2.181 3.861 Ho
1.914 2.181 0.894 Pt
0.000 0.000 4.367 Rh
```



Entry 4:
DFT (GGA-PBE) results for a relaxed Er2ThUAs4 crystal.

- formation energy (eV/atom) = -1.280
- DOS(E_F) (states/eV per cell) = 7.4
- space-group type = P2/m (10)

```
Er2ThUAs4
1.0
-0.381 3.265 2.496
-3.239 -4.101 4.870
7.074 -0.062 1.160
Er Th U As
2 1 1 4
Cartesian
3.347 1.601 1.828 Er
1.918 -2.081 3.015 Er
-1.810 -0.418 3.683 Th
0.000 0.000 0.000 U
0.814 0.607 2.743 As
2.641 -1.504 5.783 As
4.468 -1.038 2.039 As
-0.633 -3.125 3.991 As
```



Entry 5:
DFT (GGA-PBE) results for a relaxed Tb3CoPb crystal.

- formation energy (eV/atom) = -0.258
- energy above the most stable polymorph in this dataset (meV/atom) = 62.4
- DOS(E_F) (states/eV per cell) = 4.7
- space-group type = Pm-3m (221)

```
Tb3CoPb
1.0
5.163 0.000 0.000
0.000 5.163 0.000
0.000 0.000 5.163
Pb Co Tb
1 1 3
Cartesian
2.581 2.581 2.581 Pb
0.000 0.000 0.000 Co
0.000 2.581 0.000 Tb
0.000 0.000 2.581 Tb
2.581 0.000 0.000 Tb
```



Entry 6:
DFT (GGA-PBE) results for a relaxed RbTl2Bi2 crystal.

- formation energy (eV/atom) = -0.120
- energy above the most stable polymorph in this dataset (meV/atom) = 52.3
- DOS(E_F) (states/eV per cell) = 7.2
- space-group type = P4/mbm (127)

```
RbTl2Bi2
1.0
9.833 0.000 0.000
0.000 9.833 0.000
0.000 0.000 3.664
Tl Bi Rb
4 4 2
Cartesian
3.667 8.583 0.000 Tl
8.583 6.166 0.000 Tl
6.166 1.250 0.000 Tl
1.250 3.667 0.000 Tl
1.648 6.565 1.832 Bi
6.565 8.184 1.832 Bi
8.184 3.268 1.832 Bi
3.268 1.648 1.832 Bi
0.000 0.000 0.000 Rb
4.916 4.916 0.000 Rb
```



Entry 7:
DFT (GGA-PBE) results for a relaxed UGaAgO6 crystal.

- DOS(E_F) (states/eV per cell) = 1.1
- space-group type = P4_2nm (102)
- E_form (uncorrected) (eV per atom) = -1.75

```
UGaAgO6
1.0
5.100 0.000 0.000
0.000 5.100 0.000
0.000 0.000 9.231
U Ga Ag O
2 2 2 12
Cartesian
2.550 2.550 1.523 U
0.000 0.000 6.139 U
2.550 2.550 7.657 Ga
0.000 0.000 3.042 Ga
2.550 2.550 4.653 Ag
0.000 0.000 0.037 Ag
0.880 4.220 4.572 O
4.220 0.880 4.572 O
1.670 1.670 9.188 O
3.430 3.430 9.188 O
0.946 4.154 1.625 O
4.154 0.946 1.625 O
1.604 1.604 6.240 O
3.495 3.495 6.240 O
4.116 0.984 7.656 O
0.984 4.116 7.656 O
3.534 3.534 3.041 O
1.566 1.566 3.041 O
```



Entry 8:
DFT (GGA-PBE) results for a relaxed Pr2Nd8Sc crystal.

- formation energy (eV/atom) = 0.154
- energy above the most stable polymorph in this dataset (meV/atom) = 126.4
- DOS(E_F) (states/eV per cell) = 18.0
- space-group type = C2/m (12)

```
Pr2Nd8Sc
1.0
-4.666 3.121 -3.920
-7.022 -5.556 -4.698
-9.734 -2.588 0.893
Pr Nd Sc
2 8 1
Cartesian
-16.270 -4.909 -5.287 Pr
-5.152 -0.114 -2.439 Pr
-11.429 -3.288 -1.761 Nd
-11.296 -0.308 -3.279 Nd
-13.409 -5.661 -3.500 Nd
-8.013 0.638 -4.226 Nd
-10.126 -4.714 -4.447 Nd
-9.993 -1.734 -5.964 Nd
-13.399 -2.570 -5.136 Nd
-8.022 -2.453 -2.590 Nd
0.000 0.000 0.000 Sc
```



Question: The lowest DOS(E_F) belongs to which entry?
Answer: KTiF5